Entry 1:
Material: CoHRu
Method: DFT, PBE-GGA
State: optimized geometry

ΔE to the lowest computed polymorph   5 meV per atom

Lattice parameters (Å, degrees): 9.720 2.718 4.600 90.00 117.98 90.00
Space group C2/m (No. 12)
Asymmetric unit:
1 Co 0.122 0.000 0.284 (multiplicity 4)
2 H 0.247 0.000 0.719 (multiplicity 4)
3 Ru 0.118 0.500 0.793 (multiplicity 4)

Entry 2:
Material: PaNbGe2
Method: DFT, PBE-GGA
State: optimized geometry

ΔE to the lowest computed polymorph   0 meV per atom

Lattice parameters (Å, degrees): 6.734 3.952 12.911 90.00 90.00 90.00
Space group Pnma (No. 62)
Asymmetric unit:
1 Pa 0.096 0.250 0.144 (multiplicity 4)
2 Nb 0.080 0.750 0.404 (multiplicity 4)
3 Ge 0.159 0.250 0.756 (multiplicity 4)
4 Ge 0.238 0.750 0.995 (multiplicity 4)

Entry 3:
Material: ErZrFe
Method: DFT, PBE-GGA
State: optimized geometry

ΔE to the lowest computed polymorph   0 meV per atom

Lattice parameters (Å, degrees): 3.285 3.285 11.588 90.00 90.00 90.00
Space group I4mm (No. 107)
Asymmetric unit:
1 Er 0.000 0.000 0.000 (multiplicity 2)
2 Zr 0.000 0.000 0.729 (multiplicity 2)
3 Fe 0.000 0.000 0.343 (multiplicity 2)

Entry 4:
Material: CsMgBeSe2
Method: DFT, PBE-GGA
State: optimized geometry

VASP energy   -3.306 eV per atom

Lattice parameters (Å, degrees): 8.060 5.507 6.673 90.00 106.31 90.00
Space group P2/c (No. 13)
Asymmetric unit:
1 Cs 0.000 0.244 0.250 (multiplicity 2)
2 Mg 0.500 0.433 0.250 (multiplicity 2)
3 Be 0.500 0.000 0.000 (multiplicity 2)
4 Se 0.301 0.257 0.880 (multiplicity 4)

Entry 5:
Material: ErRh5
Method: DFT, PBE-GGA
State: optimized geometry

VASP energy   -7.186 eV per atom

Lattice parameters (Å, degrees): 5.2112 5.2112 4.3310 90.00 90.00 120.00
Space group P6/mmm (No. 191)
Asymmetric unit:
1 Er 0.0000 0.0000 0.0000 (multiplicity 1)
2 Rh 0.0000 0.5000 0.5000 (multiplicity 3)
3 Rh 0.3333 0.6667 0.0000 (multiplicity 2)

Entry 6:
Material: AgAuSe2N
Method: DFT, PBE-GGA
State: optimized geometry

ΔE to the lowest computed polymorph   0 meV per atom

Lattice parameters (Å, degrees): 5.401 5.401 3.730 90.00 90.00 90.00
Space group P4/mmm (No. 123)
Asymmetric unit:
1 Ag 0.000 0.000 0.000 (multiplicity 1)
2 Au 0.500 0.500 0.500 (multiplicity 1)
3 Se 0.000 0.500 0.500 (multiplicity 2)
4 N 0.500 0.500 0.000 (multiplicity 1)

Entry 7:
Material: Nd4ErSc3
Method: DFT, PBE-GGA
State: optimized geometry

ΔE to the lowest computed polymorph   243 meV per atom

Lattice parameters (Å, degrees): 27.316 3.473 5.672 90.00 93.65 90.00
Space group C2/m (No. 12)
Asymmetric unit:
1 Nd 0.100 0.000 0.030 (multiplicity 4)
2 Nd 0.190 0.000 0.560 (multiplicity 4)
3 Er 0.000 0.000 0.500 (multiplicity 2)
4 Sc 0.000 0.500 0.000 (multiplicity 2)
5 Sc 0.206 0.500 0.069 (multiplicity 4)

Entry 8:
Material: Li3Eu3Te2O12
Method: DFT, PBE-GGA
State: optimized geometry

VASP energy   -7.148 eV per atom

Lattice parameters (Å, degrees): 12.646 12.646 12.646 90.00 90.00 90.00
Space group Ia-3d (No. 230)
Asymmetric unit:
1 Li 0.000 0.250 0.375 (multiplicity 24)
2 Eu 0.000 0.250 0.125 (multiplicity 24)
3 Te 0.000 0.000 0.000 (multiplicity 16)
4 O 0.028 0.052 0.643 (multiplicity 96)

no.,DOS at the Fermi energy (states/eV/atom)
1,0.994
2,1.016
3,0.942
4,0.489
5,1.204
6,1.096
7,1.854
8,1.044